[1]
Entry from Alexandria via LeMat-Bulk: a relaxed Sm7SbAs5 crystal (PBE).

Properties
D(E_F) = 9.50 states/eV per cell
Formation energy from raw total energies = -17.86 eV/f.u.
Symmetry = Cmcm, No. 63

Unit cell a=4.237 b=7.258 c=24.829 alpha=90.00 beta=90.00 gamma=106.98
Element x y z (fractional)
Sm (0.909, 0.819, 0.105)
Sm (0.637, 0.273, 0.035)
Sm (0.824, 0.647, 0.826)
Sm (0.464, 0.928, 0.250)
Sm (0.536, 0.073, 0.750)
Sm (0.824, 0.647, 0.674)
Sm (0.177, 0.354, 0.174)
Sm (0.091, 0.182, 0.605)
Sm (0.364, 0.728, 0.535)
Sm (0.364, 0.728, 0.965)
Sm (0.637, 0.273, 0.465)
Sm (0.177, 0.354, 0.326)
Sm (0.091, 0.182, 0.895)
Sm (0.909, 0.819, 0.395)
As (0.272, 0.545, 0.073)
As (0.000, 0.000, 0.500)
As (0.272, 0.545, 0.427)
As (0.457, 0.913, 0.857)
As (0.544, 0.088, 0.143)
As (0.728, 0.456, 0.573)
As (0.728, 0.456, 0.927)
As (0.000, 0.001, 0.000)
As (0.456, 0.913, 0.643)
As (0.544, 0.088, 0.357)
Sb (0.202, 0.405, 0.750)
Sb (0.798, 0.596, 0.250)

***

[2]
Entry from Alexandria via LeMat-Bulk: a relaxed Sm3Sb2As crystal (PBE).

Properties
D(E_F) = 1.19 states/eV per cell
Formation energy from raw total energies = -7.63 eV/f.u.
ΔE to the lowest computed polymorph = 4 meV/atom
Symmetry = Immm, No. 71

Unit cell a=4.366 b=6.215 c=7.618 alpha=114.08 beta=106.65 gamma=90.00
Element x y z (fractional)
Sm (0.156, 0.656, 0.812)
Sm (0.500, 0.000, 0.500)
Sm (0.844, 0.344, 0.188)
Sb (0.830, 0.830, 0.160)
Sb (0.170, 0.170, 0.840)
As (0.500, 0.500, 0.500)

***

[3]
Entry from Alexandria via LeMat-Bulk: a relaxed Sm2SbAs crystal (PBE).

Properties
D(E_F) = 0.68 states/eV per cell
Formation energy from raw total energies = -4.93 eV/f.u.
Symmetry = R3m, No. 160

Unit cell a=4.299 b=4.299 c=7.770 alpha=73.94 beta=73.94 gamma=60.00
Element x y z (fractional)
Sb (0.499, 0.499, 0.503)
Sm (0.076, 0.076, 0.772)
Sm (0.257, 0.257, 0.229)
As (0.668, 0.668, 0.996)

***

[4]
Entry from Alexandria via LeMat-Bulk: a relaxed Sm8Sb2As crystal (PBE).

Properties
D(E_F) = 12.19 states/eV per cell
Formation energy from raw total energies = -6.99 eV/f.u.
Symmetry = C2/m, No. 12

Unit cell a=4.220 b=8.972 c=9.401 alpha=94.81 beta=102.97 gamma=90.00
Element x y z (fractional)
Sm (0.407, 0.462, 0.814)
Sm (0.991, 0.776, 0.983)
Sm (0.009, 0.224, 0.017)
Sm (0.593, 0.538, 0.186)
Sm (0.659, 0.023, 0.318)
Sm (0.209, 0.359, 0.418)
Sm (0.791, 0.641, 0.582)
Sm (0.341, 0.977, 0.682)
As (0.500, 0.000, 0.000)
Sb (0.822, 0.235, 0.644)
Sb (0.178, 0.765, 0.356)

***

[5]
Entry from Alexandria via LeMat-Bulk: a relaxed SmSbAs crystal (PBE).

Properties
D(E_F) = 1.63 states/eV per cell
Formation energy from raw total energies = -2.37 eV/f.u.
ΔE to the lowest computed polymorph = 0 meV/atom
Symmetry = Cmme, No. 67

Unit cell a=4.430 b=4.430 c=8.251 alpha=90.02 beta=90.02 gamma=92.66
Element x y z (fractional)
Sm (0.750, 0.750, 0.668)
Sm (0.250, 0.250, 0.332)
As (0.250, 0.250, 0.686)
As (0.750, 0.750, 0.314)
Sb (0.000, 0.500, 0.000)
Sb (0.500, 0.000, 0.000)

***

[6]
Entry from Alexandria via LeMat-Bulk: a relaxed Sm4SbAs5 crystal (PBE).

Properties
D(E_F) = 1.67 states/eV per cell
Formation energy from raw total energies = -11.64 eV/f.u.
Symmetry = I4/mmm, No. 139

Unit cell a=4.201 b=4.201 c=15.245 alpha=97.92 beta=97.92 gamma=90.00
Element x y z (fractional)
As (0.300, 0.300, 0.599)
As (0.500, 0.500, 0.000)
As (0.100, 0.100, 0.199)
As (0.900, 0.900, 0.801)
As (0.700, 0.700, 0.401)
Sm (0.601, 0.601, 0.201)
Sm (0.200, 0.200, 0.400)
Sm (0.399, 0.399, 0.799)
Sm (0.800, 0.800, 0.600)
Sb (0.000, 0.000, 0.000)

***

[7]
Entry from Alexandria via LeMat-Bulk: a relaxed TbSmSbAs crystal (PBE).

Properties
D(E_F) = 0.55 states/eV per cell
Formation energy from raw total energies = -5.16 eV/f.u.
Symmetry = P4/mmm, No. 123

Unit cell a=4.321 b=4.320 c=6.092 alpha=89.98 beta=90.00 gamma=90.00
Element x y z (fractional)
Sb (0.500, 0.392, 0.593)
As (0.000, 0.891, 0.092)
Sm (0.000, 0.892, 0.592)
Tb (0.500, 0.391, 0.093)

***

[8]
Entry from Alexandria via LeMat-Bulk: a relaxed Sm8Sb3Te4As crystal (PBE).

Properties
D(E_F) = 7.69 states/eV per cell
Formation energy from raw total energies = -21.91 eV/f.u.
Symmetry = R-3m, No. 166

Unit cell a=8.846 b=8.895 c=8.846 alpha=119.82 beta=120.00 gamma=90.00
Element x y z (fractional)
Sb (0.500, 0.500, 0.000)
Sb (0.000, 0.500, 0.500)
Sb (0.500, 0.500, 0.500)
Te (0.500, 0.000, 0.500)
Te (0.500, 0.000, 0.000)
Te (0.000, 0.000, 0.000)
Te (0.000, 0.000, 0.500)
Sm (0.238, 0.732, 0.994)
Sm (0.747, 0.740, 0.493)
Sm (0.762, 0.268, 0.006)
Sm (0.762, 0.268, 0.524)
Sm (0.238, 0.732, 0.476)
Sm (0.756, 0.732, 0.994)
Sm (0.244, 0.268, 0.006)
Sm (0.253, 0.260, 0.507)
As (0.000, 0.500, 0.000)

***

[9]
Entry from Alexandria via LeMat-Bulk: a relaxed Sm6SbTe2As3 crystal (PBE).

Properties
D(E_F) = 4.16 states/eV per cell
Formation energy from raw total energies = -17.73 eV/f.u.
Symmetry = C2/m, No. 12

Unit cell a=4.307 b=8.734 c=9.737 alpha=104.01 beta=102.78 gamma=90.00
Element x y z (fractional)
Sb (0.500, 0.000, 0.000)
Sm (0.330, 0.932, 0.660)
Sm (0.670, 0.068, 0.340)
Sm (0.341, 0.400, 0.681)
Sm (0.659, 0.600, 0.319)
Sm (0.005, 0.742, 0.011)
Sm (0.995, 0.258, 0.989)
As (0.833, 0.166, 0.665)
As (0.500, 0.500, 0.000)
As (0.167, 0.834, 0.335)
Te (0.832, 0.664, 0.664)
Te (0.168, 0.336, 0.336)

***

[10]
Entry from Alexandria via LeMat-Bulk: a relaxed Sm4SbTeAs2 crystal (PBE).

Properties
D(E_F) = 1.54 states/eV per cell
Formation energy from raw total energies = -11.61 eV/f.u.
Symmetry = P2/m, No. 10

Unit cell a=4.317 b=7.564 c=7.477 alpha=70.86 beta=90.00 gamma=90.00
Element x y z (fractional)
Sm (0.500, 0.231, 0.753)
Sm (0.500, 0.769, 0.247)
Sm (0.000, 0.227, 0.262)
Sm (0.000, 0.773, 0.738)
Te (0.500, 0.500, 0.000)
As (0.500, 0.000, 0.500)
As (0.000, 0.000, 0.000)
Sb (0.000, 0.500, 0.500)

***

[11]
Entry from Alexandria via LeMat-Bulk: a relaxed Sm6Sb2Te3As crystal (PBE).

Properties
D(E_F) = 5.19 states/eV per cell
Formation energy from raw total energies = -16.67 eV/f.u.
Symmetry = C2/m, No. 12

Unit cell a=4.398 b=8.887 c=9.929 alpha=103.48 beta=102.80 gamma=90.00
Element x y z (fractional)
As (0.500, 0.000, 0.000)
Sm (0.667, 0.577, 0.335)
Sm (0.655, 0.082, 0.311)
Sm (0.001, 0.226, 0.002)
Sm (0.333, 0.423, 0.665)
Sm (0.345, 0.918, 0.689)
Sm (0.999, 0.774, 0.998)
Sb (0.166, 0.333, 0.333)
Sb (0.834, 0.667, 0.667)
Te (0.170, 0.835, 0.339)
Te (0.500, 0.500, 0.000)
Te (0.830, 0.165, 0.661)

***

[12]
Entry from Alexandria via LeMat-Bulk: a relaxed Sm6SbTe3As2 crystal (PBE).

Properties
D(E_F) = 4.94 states/eV per cell
Formation energy from raw total energies = -17.51 eV/f.u.
Symmetry = C2/m, No. 12

Unit cell a=4.343 b=8.825 c=9.844 alpha=104.01 beta=102.74 gamma=90.00
Element x y z (fractional)
Sm (0.011, 0.251, 0.022)
Sm (0.668, 0.109, 0.336)
Sm (0.325, 0.432, 0.651)
Sm (0.332, 0.891, 0.664)
Sm (0.989, 0.749, 0.978)
Sm (0.675, 0.568, 0.349)
Te (0.163, 0.833, 0.326)
Te (0.500, 0.500, 0.000)
Te (0.837, 0.167, 0.674)
Sb (0.500, 0.000, 0.000)
As (0.832, 0.665, 0.664)
As (0.168, 0.335, 0.336)

***

[13]
Entry from Alexandria via LeMat-Bulk: a relaxed SmTmSbAs crystal (PBE).

Properties
D(E_F) = 0.67 states/eV per cell
Formation energy from raw total energies = -5.19 eV/f.u.
Symmetry = R3m, No. 160

Unit cell a=4.256 b=4.256 c=7.442 alpha=73.38 beta=73.38 gamma=60.00
Element x y z (fractional)
Tm (0.744, 0.744, 0.767)
Sm (0.256, 0.256, 0.233)
Sb (0.497, 0.497, 0.509)
As (0.003, 0.003, 0.991)

***

[14]
Entry from Alexandria via LeMat-Bulk: a relaxed SmYSbAs crystal (PBE).

Properties
D(E_F) = 0.66 states/eV per cell
Formation energy from raw total energies = -5.36 eV/f.u.
Symmetry = R3m, No. 160

Unit cell a=4.284 b=4.284 c=7.492 alpha=73.39 beta=73.39 gamma=60.00
Element x y z (fractional)
Y (0.744, 0.744, 0.767)
As (0.002, 0.002, 0.995)
Sm (0.256, 0.256, 0.233)
Sb (0.498, 0.498, 0.505)

***

[15]
Entry from Alexandria via LeMat-Bulk: a relaxed Sn5Sb4As crystal (PBE).

Properties
D(E_F) = 6.42 states/eV per cell
Formation energy from raw total energies = 0.14 eV/f.u.
Symmetry = I4/mmm, No. 139

Unit cell a=4.332 b=4.332 c=15.521 alpha=98.02 beta=98.02 gamma=90.00
Element x y z (fractional)
Sn (0.298, 0.298, 0.596)
Sn (0.500, 0.500, 0.000)
Sn (0.702, 0.702, 0.404)
Sn (0.094, 0.094, 0.188)
Sn (0.906, 0.906, 0.812)
Sb (0.600, 0.600, 0.200)
Sb (0.198, 0.198, 0.395)
Sb (0.802, 0.802, 0.605)
Sb (0.400, 0.400, 0.800)
As (0.000, 0.000, 0.000)

***

[16]
Entry from Alexandria via LeMat-Bulk: a relaxed Sn2SbAs2 crystal (PBE).

Properties
D(E_F) = 4.52 states/eV per cell
Formation energy from raw total energies = 0.68 eV/f.u.
ΔE to the lowest computed polymorph = 0 meV/atom
Symmetry = P4/mbm, No. 127

Unit cell a=8.035 b=8.035 c=3.929 alpha=90.00 beta=90.00 gamma=90.00
Element x y z (fractional)
As (0.169, 0.331, 0.000)
As (0.831, 0.669, 0.000)
As (0.669, 0.169, 0.000)
As (0.331, 0.831, 0.000)
Sn (0.148, 0.648, 0.500)
Sn (0.852, 0.352, 0.500)
Sn (0.352, 0.148, 0.500)
Sn (0.648, 0.852, 0.500)
Sb (0.000, 0.000, 0.000)
Sb (0.500, 0.500, 0.000)

***

[17]
Entry from Alexandria via LeMat-Bulk: a relaxed SnSb2As crystal (PBE).

Properties
D(E_F) = 1.47 states/eV per cell
Formation energy from raw total energies = 0.34 eV/f.u.
ΔE to the lowest computed polymorph = 22 meV/atom
Symmetry = R3m, No. 160

Unit cell a=4.051 b=4.051 c=8.455 alpha=76.14 beta=76.14 gamma=60.00
Element x y z (fractional)
Sn (0.507, 0.507, 0.479)
Sb (0.247, 0.247, 0.260)
Sb (0.070, 0.070, 0.789)
As (0.676, 0.676, 0.973)

***

[18]
Entry from Alexandria via LeMat-Bulk: a relaxed SnSb2As crystal (PBE).

Properties
D(E_F) = 3.44 states/eV per cell
Formation energy from raw total energies = 1.08 eV/f.u.
ΔE to the lowest computed polymorph = 208 meV/atom
Symmetry = Fm-3m, No. 225

Unit cell a=5.236 b=5.236 c=5.236 alpha=60.00 beta=60.00 gamma=60.00
Element x y z (fractional)
Sn (0.500, 0.500, 0.500)
As (0.000, 0.000, 0.000)
Sb (0.750, 0.750, 0.750)
Sb (0.250, 0.250, 0.250)

***

[19]
Entry from Alexandria via LeMat-Bulk: a relaxed Sn2SbAs2 crystal (PBE).

Properties
D(E_F) = 3.69 states/eV per cell
Formation energy from raw total energies = 0.73 eV/f.u.
ΔE to the lowest computed polymorph = 11 meV/atom
Symmetry = I4/mmm, No. 139

Unit cell a=5.473 b=5.473 c=5.807 alpha=61.89 beta=61.89 gamma=90.00
Element x y z (fractional)
Sn (0.750, 0.250, 0.500)
Sn (0.250, 0.750, 0.500)
Sb (0.000, 0.000, 0.000)
As (0.648, 0.648, 0.704)
As (0.352, 0.352, 0.296)

***

[20]
Entry from Alexandria via LeMat-Bulk: a relaxed SnSbAs2 crystal (PBE).

Properties
D(E_F) = 4.36 states/eV per cell
Formation energy from raw total energies = 0.72 eV/f.u.
ΔE to the lowest computed polymorph = 200 meV/atom
Symmetry = I-42d, No. 122

Unit cell a=7.083 b=7.083 c=6.930 alpha=59.26 beta=59.26 gamma=90.00
Element x y z (fractional)
Sb (0.000, 0.000, 0.000)
Sb (0.750, 0.250, 0.500)
As (0.131, 0.625, 0.250)
As (0.875, 0.869, 0.750)
As (0.375, 0.381, 0.750)
As (0.619, 0.125, 0.250)
Sn (0.250, 0.750, 0.500)
Sn (0.500, 0.500, 0.000)